## w
DFT (PBE-GGA) results for a geometry-optimized NbInCoAu structure.

V: 67.2 Å³/cell
SG: No. 216

Geometry as CIF:
```
data_NbInCoAu
_chemical_formula_sum 'Nb1 In1 Co1 Au1'
_space_group_name_H-M_alt 'P 1'
_space_group_IT_number 1
_cell_length_a 4.563
_cell_length_b 4.563
_cell_length_c 4.563
_cell_angle_alpha 60.00
_cell_angle_beta 60.00
_cell_angle_gamma 60.00
loop_
_space_group_symop_operation_xyz
'x,y,z'
loop_
_atom_site_label
_atom_site_fract_x
_atom_site_fract_y
_atom_site_fract_z
In1 0.250 0.250 0.250
Co1 0.000 0.000 0.000
Nb1 0.500 0.500 0.500
Au1 0.750 0.750 0.750
```

## x
DFT (PBE-GGA) results for a geometry-optimized NbInCoAu structure.

V: 66.5 Å³/cell
SG: No. 216

Geometry as CIF:
```
data_NbInCoAu
_chemical_formula_sum 'Nb1 In1 Co1 Au1'
_space_group_name_H-M_alt 'P 1'
_space_group_IT_number 1
_cell_length_a 4.548
_cell_length_b 4.548
_cell_length_c 4.548
_cell_angle_alpha 60.00
_cell_angle_beta 60.00
_cell_angle_gamma 60.00
loop_
_space_group_symop_operation_xyz
'x,y,z'
loop_
_atom_site_label
_atom_site_fract_x
_atom_site_fract_y
_atom_site_fract_z
Au1 0.750 0.750 0.750
In1 0.000 0.000 0.000
Nb1 0.250 0.250 0.250
Co1 0.500 0.500 0.500
```

## y
DFT (PBE-GGA) results for a geometry-optimized NbInCoAu structure.

V: 67.3 Å³/cell
SG: No. 216

Geometry as CIF:
```
data_NbInCoAu
_chemical_formula_sum 'Nb1 In1 Co1 Au1'
_space_group_name_H-M_alt 'P 1'
_space_group_IT_number 1
_cell_length_a 4.566
_cell_length_b 4.566
_cell_length_c 4.566
_cell_angle_alpha 60.00
_cell_angle_beta 60.00
_cell_angle_gamma 60.00
loop_
_space_group_symop_operation_xyz
'x,y,z'
loop_
_atom_site_label
_atom_site_fract_x
_atom_site_fract_y
_atom_site_fract_z
In1 0.000 0.000 0.000
Au1 0.250 0.250 0.250
Nb1 0.500 0.500 0.500
Co1 0.750 0.750 0.750
```

We find y to be the most stable, with the next structure 7.9 kJ/mol of atoms higher.